No. 1
{"formula": "LiSc2Zn", "functional": "GGA-PBE", "state": "relaxed", "lattice": [[9.8206, 0.0076, 0.0045], [9.2882, 3.1895, 0.0045], [9.2882, 1.5540, 2.7853]], "species": ["Li", "Sc", "Sc", "Zn"], "frac_coords": [[0.7500, 0.7500, 0.7500], [0.9921, 0.9921, 0.9921], [0.5079, 0.5079, 0.5079], [0.2500, 0.2500, 0.2500]], "dft_energy_ev_per_atom": -3.941, "crystal_system": "trigonal"}

No. 2
{"formula": "MnOs3", "functional": "GGA-PBE", "state": "relaxed", "lattice": [[-0.9917, -2.4023, 0.7006], [4.9405, -1.0187, 0.0528], [2.1632, -0.5799, 4.5203]], "species": ["Mn", "Os", "Os", "Os"], "frac_coords": [[0.0000, 0.0000, 0.0000], [0.5000, 0.5000, 0.0000], [0.0000, 0.5000, 0.5000], [0.5000, 0.0000, 0.5000]], "dft_energy_ev_per_atom": -10.150, "crystal_system": "trigonal"}

No. 3
{"formula": "InAu5", "functional": "GGA-PBE", "state": "relaxed", "lattice": [[-1.1893, 5.6931, -5.0505], [-0.8416, -7.0018, 3.0983], [-3.6262, 1.6236, 2.6840]], "species": ["Au", "Au", "Au", "Au", "Au", "In"], "frac_coords": [[0.9962, 0.0038, 0.0000], [0.3312, 0.6688, 0.0000], [0.6650, 0.3350, 0.0000], [0.4463, 0.5537, 0.5000], [0.7809, 0.2191, 0.5000], [0.1137, 0.8863, 0.5000]], "dft_energy_ev_per_atom": -3.234, "crystal_system": "orthorhombic"}

Question: Number 1 is which compound?
Answer: LiSc2Zn